Ac2DyAs3Rh12 | the Alexandria database | PBE | optimized geometry; calculated formation energy = -5.56 kcal/mol of atoms; space group = No. 166
1.0
4.637 2.677 4.365
-4.637 2.677 4.365
0.000 -5.354 4.365
Ac Dy As Rh
2 1 3 12
Direct
0.144 0.144 0.144
0.856 0.856 0.856
0.500 0.500 0.500
0.000 0.500 0.500
0.500 0.000 0.500
0.500 0.500 0.000
0.124 0.124 0.601
0.124 0.601 0.124
0.182 0.683 0.683
0.317 0.317 0.818
0.317 0.818 0.317
0.399 0.876 0.876
0.601 0.124 0.124
0.683 0.182 0.683
0.683 0.683 0.182
0.818 0.317 0.317
0.876 0.399 0.876
0.876 0.876 0.399



Mg3Al12Zn | the Alexandria database | PBE | optimized geometry; calculated formation energy = 0.19 kcal/mol of atoms; space group = No. 123
1.0
4.162 0.000 0.000
0.000 4.162 0.000
0.000 0.000 16.068
Mg Al Zn
3 12 1
Direct
0.000 0.000 0.000
0.000 0.000 0.254
0.000 0.000 0.746
0.000 0.500 0.126
0.000 0.500 0.381
0.000 0.500 0.619
0.000 0.500 0.874
0.500 0.000 0.126
0.500 0.000 0.381
0.500 0.000 0.619
0.500 0.000 0.874
0.500 0.500 0.000
0.500 0.500 0.255
0.500 0.500 0.500
0.500 0.500 0.745
0.000 0.000 0.500



LaTlRe2 | the Alexandria database | PBE | optimized geometry; calculated formation energy = 20.52 kcal/mol of atoms; space group = No. 119; energy relative to the lowest polymorph listed for this composition = 2.79 eV/f.u.
1.0
4.850 0.000 0.000
0.000 4.850 0.000
0.000 0.000 7.037
La Tl Re
2 2 4
Direct
0.000 0.000 0.000
0.500 0.500 0.500
0.000 0.500 0.250
0.500 0.000 0.750
0.000 0.000 0.500
0.000 0.500 0.750
0.500 0.000 0.250
0.500 0.500 0.000



La2PrErAs4 | the Alexandria database | PBE | optimized geometry; calculated formation energy = -35.20 kcal/mol of atoms; space group = No. 10
1.0
7.422 0.000 0.000
0.000 4.291 0.000
-2.475 0.000 7.000
La Pr Er As
2 1 1 4
Direct
0.000 0.000 0.000
0.000 0.500 0.500
0.500 0.000 0.500
0.500 0.500 0.000
0.257 0.500 0.246
0.261 0.000 0.760
0.739 0.000 0.240
0.743 0.500 0.754



TiNi2Ag | the Alexandria database | PBE | optimized geometry; calculated formation energy = -2.72 kcal/mol of atoms; space group = No. 225; energy relative to the lowest polymorph listed for this composition = 0.24 eV/f.u.
1.0
6.032 0.000 0.000
0.000 6.032 0.000
0.000 0.000 6.032
Ti Ni Ag
4 8 4
Direct
0.000 0.000 0.000
0.000 0.500 0.500
0.500 0.000 0.500
0.500 0.500 0.000
0.250 0.250 0.250
0.250 0.250 0.750
0.250 0.750 0.250
0.250 0.750 0.750
0.750 0.250 0.250
0.750 0.250 0.750
0.750 0.750 0.250
0.750 0.750 0.750
0.000 0.000 0.500
0.000 0.500 0.000
0.500 0.000 0.000
0.500 0.500 0.500



CaHg6Pb3 | the Alexandria database | PBE | optimized geometry; calculated formation energy = -2.50 kcal/mol of atoms; space group = No. 11; energy relative to the lowest polymorph listed for this composition = 0.00 eV/f.u.
1.0
8.800 0.000 0.000
0.000 5.421 0.000
-0.783 0.000 11.974
Ca Hg Pb
2 12 6
Direct
0.059 0.250 0.353
0.941 0.750 0.647
0.059 0.750 0.923
0.073 0.750 0.184
0.165 0.250 0.635
0.210 0.750 0.474
0.399 0.750 0.012
0.413 0.250 0.442
0.587 0.750 0.558
0.601 0.250 0.988
0.790 0.250 0.526
0.835 0.750 0.365
0.927 0.250 0.816
0.941 0.250 0.077
0.314 0.250 0.137
0.319 0.750 0.748
0.461 0.750 0.281
0.539 0.250 0.719
0.681 0.250 0.252
0.686 0.750 0.863



PmTmMo4 | the Alexandria database | PBE | optimized geometry; calculated formation energy = 3.20 kcal/mol of atoms; space group = No. 216
1.0
0.000 3.911 3.911
3.911 0.000 3.911
3.911 3.911 0.000
Pm Tm Mo
1 1 4
Direct
0.000 0.000 0.000
0.750 0.750 0.750
0.375 0.375 0.375
0.375 0.375 0.876
0.375 0.876 0.375
0.876 0.375 0.375



Sm2P2Ir5 | the Alexandria database | PBE | optimized geometry; calculated formation energy = -18.37 kcal/mol of atoms; space group = No. 123
1.0
4.136 0.000 0.000
0.000 4.136 0.000
0.000 0.000 8.893
Sm P Ir
2 2 5
Direct
0.000 0.000 0.000
0.000 0.000 0.500
0.500 0.500 0.138
0.500 0.500 0.862
0.000 0.500 0.260
0.000 0.500 0.740
0.500 0.000 0.260
0.500 0.000 0.740
0.500 0.500 0.500